(1)
# GGA-PBEsol Ca2SbBr, relaxed
# crystal system = tetragonal
# electronic total energy = -3.73 eV per atom
# mass density = 4.1 g/cm³
data_Ca2SbBr
_chemical_formula_sum 'Ca4 Sb2 Br2'
_symmetry_space_group_name_H-M 'I -4 m 2'
_symmetry_Int_Tables_number 119
_symmetry_space_group_name_Hall 'I -4 -2'
_cell_length_a 4.352
_cell_length_b 4.352
_cell_length_c 12.024
_cell_angle_alpha 90.00
_cell_angle_beta 90.00
_cell_angle_gamma 90.00
loop_
_atom_site_label
_atom_site_type_symbol
_atom_site_fract_x
_atom_site_fract_y
_atom_site_fract_z
_atom_site_occupancy
Ca1 Ca 0.000 0.000 0.000 1
Ca2 Ca 0.000 0.500 0.250 1
Sb1 Sb 0.000 0.000 0.500 1
Br1 Br 0.000 0.500 0.750 1

(2)
# GGA-PBEsol CaZrSb2Br, relaxed
# crystal system = tetragonal
# electronic total energy = -3.55 eV per atom
# mass density = 4.7 g/cm³
data_CaZrSb2Br
_chemical_formula_sum 'Ca1 Zr1 Sb2 Br1'
_symmetry_space_group_name_H-M 'P 4/m m m'
_symmetry_Int_Tables_number 123
_symmetry_space_group_name_Hall '-P 4 2'
_cell_length_a 5.461
_cell_length_b 5.461
_cell_length_c 5.355
_cell_angle_alpha 90.00
_cell_angle_beta 90.00
_cell_angle_gamma 90.00
loop_
_atom_site_label
_atom_site_type_symbol
_atom_site_fract_x
_atom_site_fract_y
_atom_site_fract_z
_atom_site_occupancy
Ca1 Ca 0.000 0.000 0.000 1
Zr1 Zr 0.000 0.000 0.500 1
Sb1 Sb 0.000 0.500 0.000 1
Br1 Br 0.500 0.500 0.500 1

(3)
# GGA-PBEsol CaScBr2, relaxed
# crystal system = orthorhombic
# electronic total energy = -4.12 eV per atom
# mass density = 4.2 g/cm³
data_CaScBr2
_chemical_formula_sum 'Ca2 Sc2 Br4'
_symmetry_space_group_name_H-M 'A m m 2'
_symmetry_Int_Tables_number 38
_cell_length_a 5.172
_cell_length_b 3.614
_cell_length_c 10.328
_cell_angle_alpha 90.00
_cell_angle_beta 90.00
_cell_angle_gamma 90.00
loop_
_symmetry_equiv_pos_as_xyz
'x,y,z'
'-x,-y,z'
'-x,y,z'
'x,-y,z'
'x,y+1/2,z+1/2'
'-x,-y+1/2,z+1/2'
'-x,y+1/2,z+1/2'
'x,-y+1/2,z+1/2'
loop_
_atom_site_label
_atom_site_type_symbol
_atom_site_fract_x
_atom_site_fract_y
_atom_site_fract_z
_atom_site_occupancy
Ca1 Ca 0.000 0.000 0.000 1
Sc1 Sc 0.500 0.000 0.699 1
Br1 Br 0.000 0.000 0.719 1
Br2 Br 0.500 0.000 0.418 1

(4)
# GGA-PBEsol CaScBr2, relaxed
# crystal system = tetragonal
# electronic total energy = -3.92 eV per atom
# mass density = 3.2 g/cm³
data_CaScBr2
_chemical_formula_sum 'Ca4 Sc4 Br8'
_symmetry_space_group_name_H-M 'I -4 2 d'
_symmetry_Int_Tables_number 122
_symmetry_space_group_name_Hall 'I -4 2bw'
_cell_length_a 6.299
_cell_length_b 6.299
_cell_length_c 12.702
_cell_angle_alpha 90.00
_cell_angle_beta 90.00
_cell_angle_gamma 90.00
loop_
_atom_site_label
_atom_site_type_symbol
_atom_site_fract_x
_atom_site_fract_y
_atom_site_fract_z
_atom_site_occupancy
Ca1 Ca 0.000 0.000 0.000 1
Sc1 Sc 0.000 0.000 0.500 1
Br1 Br 0.225 0.250 0.625 1

(5)
# GGA-PBEsol CaScBr3, relaxed
# crystal system = cubic
# electronic total energy = -3.80 eV per atom
# mass density = 3.2 g/cm³
data_CaScBr3
_chemical_formula_sum 'Ca1 Sc1 Br3'
_symmetry_space_group_name_H-M 'P m -3 m'
_symmetry_Int_Tables_number 221
_symmetry_space_group_name_Hall '-P 4 2 3'
_cell_length_a 5.495
_cell_length_b 5.495
_cell_length_c 5.495
_cell_angle_alpha 90.00
_cell_angle_beta 90.00
_cell_angle_gamma 90.00
loop_
_atom_site_label
_atom_site_type_symbol
_atom_site_fract_x
_atom_site_fract_y
_atom_site_fract_z
_atom_site_occupancy
Ca1 Ca 0.000 0.000 0.000 1
Sc1 Sc 0.500 0.500 0.500 1
Br1 Br 0.000 0.000 0.500 1

(6)
# GGA-PBEsol CaScBr2, relaxed
# crystal system = monoclinic
# electronic total energy = -4.13 eV per atom
# mass density = 4.3 g/cm³
data_CaScBr2
_chemical_formula_sum 'Ca2 Sc2 Br4'
_symmetry_space_group_name_H-M 'C 1 2/m 1'
_symmetry_Int_Tables_number 12
_cell_length_a 8.674
_cell_length_b 3.588
_cell_length_c 6.255
_cell_angle_alpha 90.00
_cell_angle_beta 104.10
_cell_angle_gamma 90.00
loop_
_symmetry_equiv_pos_as_xyz
'x,y,z'
'-x,-y,-z'
'-x,y,-z'
'x,-y,z'
'x+1/2,y+1/2,z'
'-x+1/2,-y+1/2,-z'
'-x+1/2,y+1/2,-z'
'x+1/2,-y+1/2,z'
loop_
_atom_site_label
_atom_site_type_symbol
_atom_site_fract_x
_atom_site_fract_y
_atom_site_fract_z
_atom_site_occupancy
Ca1 Ca 0.000 0.000 0.000 1
Sc1 Sc 0.000 0.500 0.500 1
Br1 Br 0.239 0.000 0.726 1

no.,V (Å³/atom)
1,28.5
2,31.9
3,24.1
4,31.5
5,33.2
6,23.6